CuAs2Se | GGA-PBE | optimized geometry

Computed properties:
Uncorrected formation energy, meV per atom: 337
DOS(E_F), states/eV/f.u.: 1.12
Total energy, eV/cell: -15.5

abc: 2.869 2.869 9.387
angles: 90.00 90.00 101.32
Fractional positions:
Cu 0.000 0.000 0.488
As 0.000 0.000 0.038
As 0.500 0.500 0.286
Se 0.500 0.500 0.688

***

Ru2WSe | GGA-PBE | optimized geometry

Computed properties:
Uncorrected formation energy, meV per atom: 262
DOS(E_F), states/eV/f.u.: 3.28
Total energy, eV/cell: -33.9

abc: 4.064 2.908 5.347
angles: 72.36 90.00 90.00
Fractional positions:
W 0.500 0.750 0.750
Se 0.500 0.250 0.250
Ru 0.000 0.122 0.009
Ru 0.000 0.378 0.491

***

BaMn2Cr | GGA-PBE | optimized geometry

Computed properties:
ΔE to the lowest computed polymorph, eV/atom: 0.685
DOS(E_F), states/eV/f.u.: 6.03
Total energy, eV/cell: -50.4
E_form, kcal/mol of atoms: 27.04

abc: 4.828 4.828 8.209
angles: 72.90 72.90 90.00
Fractional positions:
Mn 0.375 0.125 0.250
Mn 0.375 0.625 0.750
Mn 0.875 0.625 0.750
Mn 0.375 0.625 0.250
Ba 0.750 0.250 0.500
Ba 0.000 0.000 0.000
Cr 0.250 0.750 0.500
Cr 0.500 0.500 0.000

***

VCo2PtC | GGA-PBE | optimized geometry

Computed properties:
DOS(E_F), states/eV/f.u.: 5.71
Total energy, eV/cell: -39.0
E_form, kcal/mol of atoms: -1.71

abc: 3.791 3.791 3.979
angles: 90.00 90.00 90.00
Last column: magnetic moment on the atom in μB.
Fractional positions:
C 0.000 0.000 0.000  0.01
Pt 0.500 0.500 0.500  0.13
V 0.000 0.000 0.500  0.18
Co 0.500 0.000 0.000  1.04
Co 0.000 0.500 0.000  1.04